i:
Below is a relaxed TbY2Ga2 crystal, with properties calculated at the PBE level.

a = 6.353 Å, b = 6.353 Å, c = 10.696 Å
α = 118.43°, β = 118.43°, γ = 43.70°
Element x y z (fractional)
1 Tb 0.198 0.198 0.351
2 Tb 0.802 0.802 0.649
3 Y 0.314 0.314 0.903
4 Y 0.470 0.470 0.311
5 Y 0.530 0.530 0.689
6 Y 0.686 0.686 0.097
7 Ga 0.058 0.058 0.921
8 Ga 0.127 0.127 0.583
9 Ga 0.873 0.873 0.417
10 Ga 0.942 0.942 0.079

Computed properties:
Symmetry   C2/m
Magnetic moment   0.000 Bohr magnetons per cell
Calculated volume   256.06 Å³ per cell
D(E_F)   2.61 states/eV/f.u.

***

ii:
Below is a relaxed TbY2Ga2 crystal, with properties calculated at the PBE level.

a = 7.678 Å, b = 7.678 Å, c = 4.335 Å
α = 90.00°, β = 90.00°, γ = 90.00°
Element x y z (fractional)
1 Tb 0.000 0.000 0.000
2 Tb 0.500 0.500 0.000
3 Y 0.175 0.325 0.500
4 Y 0.325 0.825 0.500
5 Y 0.675 0.175 0.500
6 Y 0.825 0.675 0.500
7 Ga 0.119 0.619 0.000
8 Ga 0.381 0.119 0.000
9 Ga 0.619 0.881 0.000
10 Ga 0.881 0.381 0.000

Computed properties:
Symmetry   P4/mbm
Magnetic moment   0.000 Bohr magnetons per cell
Calculated volume   255.51 Å³ per cell
D(E_F)   6.22 states/eV/f.u.

***

Which of them is the most stable, and which is the least stable? ii and i, in that order.

***

i:
Below is a relaxed TbY2Ga crystal, with properties calculated at the PBE level.

a = 11.388 Å, b = 11.388 Å, c = 11.388 Å
α = 17.80°, β = 17.80°, γ = 17.80°
Element x y z (fractional)
1 Tb 0.000 0.000 0.000
2 Y 0.102 0.102 0.102
3 Y 0.898 0.898 0.898
4 Ga 0.500 0.500 0.500

Computed properties:
Symmetry   R-3m
Magnetic moment   1.082 Bohr magnetons per cell
Calculated volume   120.43 Å³ per cell
D(E_F)   4.83 states/eV/f.u.

***

ii:
Below is a relaxed TbY2Ga crystal, with properties calculated at the PBE level.

a = 6.678 Å, b = 6.678 Å, c = 9.594 Å
α = 90.00°, β = 90.00°, γ = 148.02°
Element x y z (fractional)
1 Tb 0.056 0.944 0.750
2 Tb 0.944 0.056 0.250
3 Y 0.365 0.635 0.549
4 Y 0.365 0.635 0.951
5 Y 0.635 0.365 0.049
6 Y 0.635 0.365 0.451
7 Ga 0.255 0.745 0.250
8 Ga 0.745 0.255 0.750

Computed properties:
Symmetry   Cmcm
Magnetic moment   1.283 Bohr magnetons per cell
Calculated volume   226.61 Å³ per cell
D(E_F)   5.34 states/eV/f.u.

***

iii:
Below is a relaxed TbY2Ga crystal, with properties calculated at the PBE level.

a = 3.533 Å, b = 3.533 Å, c = 8.929 Å
α = 90.00°, β = 90.00°, γ = 90.00°
Element x y z (fractional)
1 Tb 0.000 0.000 0.000
2 Y 0.500 0.500 0.292
3 Y 0.500 0.500 0.708
4 Ga 0.000 0.000 0.500

Computed properties:
Symmetry   P4/mmm
Magnetic moment   0.000 Bohr magnetons per cell
Calculated volume   111.48 Å³ per cell
D(E_F)   4.25 states/eV/f.u.

***

Which of them is the most stable, and which is the least stable? ii and i, in that order.

***

i:
Below is a relaxed Tb2YGa2 crystal, with properties calculated at the PBE level.

a = 6.500 Å, b = 6.500 Å, c = 5.926 Å
α = 101.96°, β = 101.96°, γ = 32.70°
Element x y z (fractional)
1 Tb 0.137 0.137 0.071
2 Tb 0.863 0.863 0.929
3 Y 0.500 0.500 0.500
4 Ga 0.202 0.202 0.612
5 Ga 0.798 0.798 0.388

Computed properties:
Symmetry   C2/m
Magnetic moment   0.000 Bohr magnetons per cell
Calculated volume   132.06 Å³ per cell
D(E_F)   6.75 states/eV/f.u.

***

ii:
Below is a relaxed Tb2YGa2 crystal, with properties calculated at the PBE level.

a = 7.690 Å, b = 7.690 Å, c = 4.338 Å
α = 90.00°, β = 90.00°, γ = 90.00°
Element x y z (fractional)
1 Tb 0.174 0.326 0.000
2 Tb 0.326 0.826 0.000
3 Tb 0.674 0.174 0.000
4 Tb 0.826 0.674 0.000
5 Y 0.000 0.000 0.500
6 Y 0.500 0.500 0.500
7 Ga 0.120 0.620 0.500
8 Ga 0.380 0.120 0.500
9 Ga 0.620 0.880 0.500
10 Ga 0.880 0.380 0.500

Computed properties:
Symmetry   P4/mbm
Magnetic moment   0.000 Bohr magnetons per cell
Calculated volume   256.51 Å³ per cell
D(E_F)   5.92 states/eV/f.u.

***

Which of them is the most stable, and which is the least stable? ii and i, in that order.

***

i:
Below is a relaxed Tb6ZnGa2 crystal, with properties calculated at the PBE level.

a = 8.590 Å, b = 8.590 Å, c = 8.590 Å
α = 111.67°, β = 111.02°, γ = 105.78°
Element x y z (fractional)
1 Tb 0.031 0.824 0.207
2 Tb 0.246 0.551 0.304
3 Tb 0.246 0.942 0.696
4 Tb 0.270 0.324 0.593
5 Tb 0.270 0.676 0.946
6 Tb 0.383 0.176 0.207
7 Tb 0.617 0.824 0.793
8 Tb 0.730 0.324 0.054
9 Tb 0.730 0.676 0.407
10 Tb 0.754 0.058 0.304
11 Tb 0.754 0.449 0.696
12 Tb 0.969 0.176 0.793
13 Zn 0.000 0.500 0.500
14 Zn 0.500 0.000 0.500
15 Ga 0.000 0.147 0.147
16 Ga 0.000 0.853 0.853
17 Ga 0.377 0.377 0.000
18 Ga 0.623 0.623 0.000

Computed properties:
Symmetry   Immm
Magnetic moment   0.000 Bohr magnetons per cell
Calculated volume   486.44 Å³ per cell
D(E_F)   8.37 states/eV/f.u.

***

ii:
Below is a relaxed Tb6ZnGa2 crystal, with properties calculated at the PBE level.

a = 8.616 Å, b = 8.616 Å, c = 8.616 Å
α = 146.55°, β = 131.85°, γ = 59.89°
Element x y z (fractional)
1 Tb 0.082 0.334 0.748
2 Tb 0.248 0.000 0.248
3 Tb 0.415 0.666 0.748
4 Tb 0.585 0.334 0.252
5 Tb 0.752 0.000 0.752
6 Tb 0.918 0.666 0.252
7 Zn 0.000 0.500 0.500
8 Ga 0.333 0.833 0.500
9 Ga 0.667 0.167 0.500

Computed properties:
Symmetry   Immm
Magnetic moment   0.000 Bohr magnetons per cell
Calculated volume   260.27 Å³ per cell
D(E_F)   12.95 states/eV/f.u.

***

Which of them is the most stable, and which is the least stable? i and ii, in that order.